This record from the Alexandria database describes a geometry-optimized ZrCrTe2F structure. The functional is PBE with a Hubbard U.

Structure (CIF):
```
data_ZrCrTe2F
_cell_length_a 5.427
_cell_length_b 5.427
_cell_length_c 3.799
_cell_angle_alpha 90.00
_cell_angle_beta 90.00
_cell_angle_gamma 90.00
_symmetry_space_group_name_H-M 'P 4/m m m'
_symmetry_Int_Tables_number 123
_symmetry_space_group_name_Hall '-P 4 2'
loop_
_atom_site_label
_atom_site_type_symbol
_atom_site_fract_x
_atom_site_fract_y
_atom_site_fract_z
Zr1 Zr 0.000 0.000 0.000
Cr1 Cr 0.500 0.500 0.000
Te1 Te 0.000 0.500 0.500
F1 F 0.500 0.500 0.500
```

E = -5.311 eV per atom
Calculated volume = 112 Å³ per cell